(1)
Computed, not measured: a relaxed structure of SiRh2Au at the PBE-GGA level of DFT.

The space group is No. 38. The calculation puts the volume at 60.3 Å³ per cell. The value obtained for the total energy is -24.35 eV for the cell shown.

a = 3.7617 Å, b = 2.8627 Å, c = 5.7799 Å
α = 75.70°, β = 90.00°, γ = 90.00°
Sites, in units of the cell vectors:
Rh 0.5000 0.2862 0.3027
Rh 0.0000 0.9305 0.0138
Au 0.5000 0.5610 0.7522
Si 0.0000 0.7223 0.4313



(2)
Computed, not measured: a relaxed structure of SiRh2Au at the PBE-GGA level of DFT.

The space group is No. 166. The calculation puts the volume at 59.4 Å³ per cell. The value obtained for the total energy is -25.00 eV for the cell shown.

a = 8.6033 Å, b = 8.6033 Å, c = 8.6033 Å
α = 19.07°, β = 19.07°, γ = 19.07°
Sites, in units of the cell vectors:
Si 0.2500 0.2500 0.2500
Rh 0.9863 0.9863 0.9863
Rh 0.5137 0.5137 0.5137
Au 0.7500 0.7500 0.7500



(3)
Computed, not measured: a relaxed structure of SiRh2Au2 at the PBE-GGA level of DFT.

The space group is No. 139. The calculation puts the volume at 89.8 Å³ per cell. The value obtained for the total energy is -24.28 eV for the cell shown.

a = 7.3527 Å, b = 7.3527 Å, c = 7.3527 Å
α = 151.59°, β = 151.59°, γ = 40.62°
Sites, in units of the cell vectors:
Si 0.0000 0.0000 0.0000
Rh 0.4099 0.4099 0.0000
Rh 0.5901 0.5901 0.0000
Au 0.2500 0.7500 0.5000
Au 0.7500 0.2500 0.5000



(4)
Computed, not measured: a relaxed structure of SiRhAu2 at the PBE-GGA level of DFT.

The space group is No. 35. The calculation puts the volume at 63.6 Å³ per cell. The value obtained for the total energy is -20.06 eV for the cell shown.

a = 2.9808 Å, b = 2.9808 Å, c = 7.1596 Å
α = 90.00°, β = 90.00°, γ = 90.20°
Sites, in units of the cell vectors:
Au 0.5000 0.5000 0.2620
Au 0.0000 0.0000 0.9673
Si 0.5000 0.5000 0.7183
Rh 0.0000 0.0000 0.5523



(5)
Computed, not measured: a relaxed structure of SiRh2Au at the PBE-GGA level of DFT.

The space group is No. 122. The calculation puts the volume at 130.0 Å³ per cell. The value obtained for the total energy is -45.22 eV for the cell shown.

a = 3.8113 Å, b = 3.8113 Å, c = 9.3472 Å
α = 78.24°, β = 78.24°, γ = 90.00°
Sites, in units of the cell vectors:
Rh 0.1465 0.6250 0.2500
Rh 0.6035 0.1250 0.2500
Rh 0.8750 0.8535 0.7500
Rh 0.3750 0.3965 0.7500
Au 0.7500 0.2500 0.5000
Au 0.0000 0.0000 0.0000
Si 0.2500 0.7500 0.5000
Si 0.5000 0.5000 0.0000



(6)
Computed, not measured: a relaxed structure of SiRhAu3 at the PBE-GGA level of DFT.

The space group is No. 221. The calculation puts the volume at 100.6 Å³ per cell. The value obtained for the total energy is -19.57 eV for the cell shown.

a = 4.6505 Å, b = 4.6505 Å, c = 4.6505 Å
α = 90.00°, β = 90.00°, γ = 90.00°
Sites, in units of the cell vectors:
Si 0.0000 0.0000 0.0000
Au 0.5000 0.0000 0.0000
Au 0.0000 0.0000 0.5000
Au 0.0000 0.5000 0.0000
Rh 0.5000 0.5000 0.5000



(7)
Computed, not measured: a relaxed structure of SiRh2Au at the PBE-GGA level of DFT.

The space group is No. 44. The calculation puts the volume at 59.9 Å³ per cell. The value obtained for the total energy is -24.31 eV for the cell shown.

a = 5.4407 Å, b = 5.4407 Å, c = 5.4407 Å
α = 148.78°, β = 133.78°, γ = 56.84°
Sites, in units of the cell vectors:
Rh 0.7016 0.2016 0.5000
Rh 0.9955 0.9955 0.0000
Au 0.2925 0.7925 0.5000
Si 0.5104 0.5104 0.0000



(8)
Computed, not measured: a relaxed structure of SiRhAu2 at the PBE-GGA level of DFT.

The space group is No. 119. The calculation puts the volume at 63.6 Å³ per cell. The value obtained for the total energy is -19.09 eV for the cell shown.

a = 4.8939 Å, b = 4.8939 Å, c = 4.8939 Å
α = 131.90°, β = 131.90°, γ = 70.38°
Sites, in units of the cell vectors:
Rh 0.5000 0.5000 0.0000
Au 0.2500 0.7500 0.5000
Au 0.0000 0.0000 0.0000
Si 0.7500 0.2500 0.5000



Number 1: magnetization 0.000 μB/atom. Number 2: magnetization 0.000 μB/atom. Number 3: magnetization 0.199 μB/atom. Number 4: magnetization 0.000 μB/atom. Number 5: magnetization 0.000 μB/atom. Number 6: magnetization 0.000 μB/atom. Number 7: magnetization 0.000 μB/atom. Number 8: magnetization 0.000 μB/atom.